1.
The following is a DFT calculation (GGA-PBE) of crystalline GeSeNF2 at its relaxed geometry.

Lattice parameters (Å, degrees): 3.953 3.953 4.157 90.00 90.00 90.00
Space group P4/mmm (No. 123)
Symmetry-distinct sites (fractional):
1 Ge 0.000 0.000 0.000 x1
2 Se 0.500 0.500 0.500 x1
3 N 0.000 0.000 0.500 x1
4 F 0.000 0.500 0.000 x2

Properties
- Total magnetic moment: 0.72 μB/cell
- Energy relative to the lowest polymorph listed for this composition: 0 meV/atom
- Formation energy without anion corrections: -0.89 eV per formula unit
- Energy: -4.2116 eV per atom

2.
The following is a DFT calculation (GGA-PBE) of crystalline Sm3ThBi4 at its relaxed geometry.

Lattice parameters (Å, degrees): 9.128 12.911 4.576 90.00 90.00 90.00
Space group Cmmm (No. 65)
Symmetry-distinct sites (fractional):
1 Sm 0.000 0.000 0.000 x2
2 Sm 0.250 0.250 0.500 x4
3 Th 0.000 0.500 0.000 x2
4 Bi 0.000 0.249 0.000 x4
5 Bi 0.248 0.000 0.500 x4

Properties
- Total magnetic moment: 0.00 μB/cell
- Energy of formation from the pure elements: -6.81 eV per formula unit
- Energy relative to the lowest polymorph listed for this composition: 0 meV/atom
- Energy: -5.4894 eV per atom

3.
The following is a DFT calculation (GGA-PBE) of crystalline NdDy3ErTh at its relaxed geometry.

Lattice parameters (Å, degrees): 7.970 5.060 10.108 90.00 108.79 90.00
Space group P2_1/m (No. 11)
Symmetry-distinct sites (fractional):
1 Nd 0.168 0.250 0.292 x2
2 Dy 0.170 0.750 0.544 x2
3 Dy 0.175 0.750 0.043 x2
4 Dy 0.176 0.250 0.793 x2
5 Er 0.499 0.250 0.628 x2
6 Th 0.498 0.750 0.878 x2

Properties
- Total magnetic moment: 0.00 μB/cell
- Energy of formation from the pure elements: 0.16 eV per formula unit
- Energy: -5.0655 eV per atom

4.
The following is a DFT calculation (GGA-PBE) of crystalline CeDyH at its relaxed geometry.

Lattice parameters (Å, degrees): 3.5152 3.5152 5.8419 90.00 90.00 120.00
Space group P3m1 (No. 156)
Symmetry-distinct sites (fractional):
1 Ce 0.0000 0.0000 0.0000 x1
2 Dy 0.6667 0.3333 0.5092 x1
3 H 0.3333 0.6667 0.7430 x1

Properties
- Total magnetic moment: 0.86 μB/cell
- Energy relative to the lowest polymorph listed for this composition: 0 meV/atom
- Energy: -4.8014 eV per atom

5.
The following is a DFT calculation (GGA-PBE) of crystalline Mn2Fe3Os4 at its relaxed geometry.

Lattice parameters (Å, degrees): 12.222 8.677 4.401 90.00 99.26 90.00
Space group C2/c (No. 15)
Symmetry-distinct sites (fractional):
1 Mn 0.099 0.128 0.305 x8
2 Fe 0.000 0.135 0.750 x4
3 Fe 0.176 0.345 0.583 x8
4 Os 0.067 0.387 0.025 x8
5 Os 0.218 0.100 0.881 x8

Properties
- Total magnetic moment: 11.51 μB/cell
- Energy of formation from the pure elements: 1.79 eV per formula unit
- Energy: -9.6504 eV per atom

6.
The following is a DFT calculation (GGA-PBE) of crystalline K5Sn3I12 at its relaxed geometry.

Lattice parameters (Å, degrees): 20.823 20.823 20.823 90.00 90.00 90.00
Space group Ia-3d (No. 230)
Symmetry-distinct sites (fractional):
1 K 0.000 0.000 0.000 x16
2 K 0.000 0.250 0.375 x24
3 Sn 0.000 0.250 0.125 x24
4 I 0.021 0.045 0.341 x96

Properties
- Total magnetic moment: 0.00 μB/cell
- Formation energy without anion corrections: -16.86 eV per formula unit
- Energy: -2.6479 eV per atom

7.
The following is a DFT calculation (GGA-PBE) of crystalline ThTe2Au at its relaxed geometry.

Lattice parameters (Å, degrees): 4.471 5.877 5.975 84.11 68.03 67.74
Space group P1 (No. 1)
Symmetry-distinct sites (fractional):
1 Th 0.000 0.000 0.000 x1
2 Te 0.582 0.216 0.622 x1
3 Te 0.693 0.593 0.019 x1
4 Au 0.301 0.025 0.373 x1

Properties
- Total magnetic moment: 0.00 μB/cell
- Formation energy without anion corrections: -2.67 eV per formula unit
- Energy: -4.9119 eV per atom

8.
The following is a DFT calculation (GGA-PBE) of crystalline MgIrOs at its relaxed geometry.

Lattice parameters (Å, degrees): 5.2305 5.2305 37.6949 90.00 90.00 120.00
Space group R-3m (No. 166, hexagonal axes)
Symmetry-distinct sites (fractional):
1 Mg 0.0000 0.0000 0.0404 x6
2 Mg 0.0000 0.0000 0.1822 x6
3 Mg 0.0000 0.0000 0.2638 x6
4 Ir 0.0114 0.5057 0.7783 x18
5 Os 0.0000 0.0000 0.3907 x6
6 Os 0.0000 0.0000 0.5000 x3
7 Os 0.0000 0.5000 0.0000 x9

Properties
- Total magnetic moment: 0.00 μB/cell
- Energy of formation from the pure elements: -0.07 eV per formula unit
- Energy relative to the lowest polymorph listed for this composition: 40 meV/atom
- Energy: -7.2513 eV per atom

Ordered volume results: 64.96 269.64 192.97 62.52 115.15 1128.62 134.59 49.62; unit Å³/f.u..